[1]
PBE-GGA CaRhCl, optimized geometry; raw formation energy = -0.44 eV per atom
1.0
3.465 0.000 0.000
-1.732 3.001 0.000
0.000 0.000 6.268
Ca Rh Cl
1 1 1
direct
0.000 0.000 0.000
0.333 0.667 0.666
0.667 0.333 0.300

---

[2]
PBE-GGA Mo3Os, optimized geometry; ΔE_f = 151.4 meV/atom
1.0
3.132 0.000 0.000
0.000 3.132 0.000
0.000 0.000 6.334
Mo Os
3 1
direct
0.000 0.000 0.000
0.500 0.500 0.242
0.500 0.500 0.758
0.000 0.000 0.500

---

[3]
PBE-GGA AcSmBiTe, optimized geometry; raw formation energy = -1.01 eV per atom
1.0
8.040 0.000 0.000
0.000 8.040 0.000
0.000 0.000 8.040
Ac Sm Bi Te
4 4 4 4
direct
0.000 0.000 0.000
0.000 0.500 0.500
0.500 0.000 0.500
0.500 0.500 0.000
0.000 0.000 0.500
0.000 0.500 0.000
0.500 0.000 0.000
0.500 0.500 0.500
0.250 0.250 0.250
0.250 0.750 0.750
0.750 0.250 0.750
0.750 0.750 0.250
0.250 0.250 0.750
0.250 0.750 0.250
0.750 0.250 0.250
0.750 0.750 0.750

---

[4]
An optimized crystal structure of HPbO2F. Source: Alexandria via LeMat-Bulk, functional PBE-GGA.

Structure (POSCAR):
```
HPbO2F
1.0
3.518 0.000 0.000
0.000 3.518 0.000
0.000 0.000 4.272
H Pb O F
1 1 2 1
direct
0.000 0.000 0.000
0.500 0.500 0.500
0.000 0.500 0.000
0.500 0.000 0.000
0.000 0.000 0.500
```

---

[5]
An optimized crystal structure of Ni2HPdSe. Source: Alexandria via LeMat-Bulk, functional PBE-GGA.

Structure (POSCAR):
```
Ni2HPdSe
1.0
3.834 0.000 0.000
0.000 3.834 0.000
0.000 0.000 3.925
Ni H Pd Se
2 1 1 1
direct
0.000 0.500 0.000
0.500 0.000 0.000
0.000 0.000 0.000
0.000 0.000 0.500
0.500 0.500 0.500
```

---

[6]
PBE-GGA CaThZnRu, optimized geometry; ΔE_f = -133.1 meV/atom
1.0
7.104 0.000 0.000
0.000 7.104 0.000
0.000 0.000 7.104
Ca Th Zn Ru
4 4 4 4
direct
0.000 0.000 0.000
0.000 0.500 0.500
0.500 0.000 0.500
0.500 0.500 0.000
0.000 0.000 0.500
0.000 0.500 0.000
0.500 0.000 0.000
0.500 0.500 0.500
0.250 0.250 0.250
0.250 0.750 0.750
0.750 0.250 0.750
0.750 0.750 0.250
0.250 0.250 0.750
0.250 0.750 0.250
0.750 0.250 0.250
0.750 0.750 0.750

---

[7]
PBE-GGA MgTi2Ge2, optimized geometry; ΔE_f = 33.9 meV/atom
1.0
3.775 0.000 0.000
0.000 3.775 0.000
0.000 0.000 13.217
Mg Ti Ge
2 4 4
direct
0.000 0.000 0.000
0.500 0.500 0.500
0.000 0.000 0.396
0.000 0.000 0.604
0.500 0.500 0.104
0.500 0.500 0.896
0.000 0.500 0.250
0.000 0.500 0.750
0.500 0.000 0.250
0.500 0.000 0.750

---

[8]
PBE-GGA K2TlHgS, optimized geometry; raw formation energy = -0.40 eV per atom
1.0
5.943 0.000 0.000
0.000 5.943 0.000
0.000 0.000 6.097
K Tl Hg S
2 1 1 1
direct
0.000 0.500 0.000
0.500 0.000 0.000
0.000 0.000 0.500
0.500 0.500 0.500
0.000 0.000 0.000

---

[9]
PBE-GGA Pa2Co6SiP, optimized geometry; raw formation energy = -0.52 eV per atom
1.0
4.903 0.000 0.000
0.000 7.769 0.000
0.000 0.000 7.589
Pa Co Si P
4 12 2 2
direct
0.250 0.002 0.227
0.250 0.498 0.227
0.750 0.502 0.773
0.750 0.998 0.773
0.001 0.750 0.493
0.002 0.750 0.985
0.250 0.000 0.592
0.250 0.500 0.592
0.498 0.750 0.985
0.499 0.750 0.493
0.501 0.250 0.507
0.502 0.250 0.015
0.750 0.000 0.408
0.750 0.500 0.408
0.998 0.250 0.015
0.999 0.250 0.507
0.250 0.250 0.766
0.750 0.750 0.234
0.250 0.750 0.743
0.750 0.250 0.257

---

[10]
PBE-GGA Ti2MnRh, optimized geometry; ΔE_f = -571.2 meV/atom
1.0
6.077 0.000 0.000
0.000 6.077 0.000
0.000 0.000 6.077
Ti Mn Rh
8 4 4
direct
0.250 0.250 0.250
0.250 0.250 0.750
0.250 0.750 0.250
0.250 0.750 0.750
0.750 0.250 0.250
0.750 0.250 0.750
0.750 0.750 0.250
0.750 0.750 0.750
0.000 0.000 0.000
0.000 0.500 0.500
0.500 0.000 0.500
0.500 0.500 0.000
0.000 0.000 0.500
0.000 0.500 0.000
0.500 0.000 0.000
0.500 0.500 0.500

---

[11]
PBE-GGA NdSm5Tl6, optimized geometry; ΔE_f = -381.2 meV/atom
1.0
5.492 0.000 0.000
0.000 7.678 0.000
-2.695 0.000 8.249
Nd Sm Tl
1 5 6
direct
0.000 0.000 0.000
0.000 0.500 0.000
0.333 0.000 0.666
0.334 0.500 0.669
0.666 0.500 0.331
0.667 0.000 0.334
0.168 0.252 0.335
0.168 0.748 0.335
0.500 0.251 0.000
0.500 0.749 0.000
0.832 0.252 0.665
0.832 0.748 0.665

---

[12]
PBE-GGA Li3In3HgIr2, optimized geometry; ΔE_f = -224.6 meV/atom
1.0
7.722 0.000 0.000
-3.861 6.688 0.000
0.000 0.000 3.049
Li In Hg Ir
3 3 1 2
direct
0.000 0.705 0.000
0.295 0.295 0.000
0.705 0.000 0.000
0.000 0.393 0.500
0.393 0.000 0.500
0.607 0.607 0.500
0.000 0.000 0.500
0.333 0.667 0.000
0.667 0.333 0.000

---

no.,E_tot (eV per cell)
1,-12.5
2,-43.1
3,-79.6
4,-20.2
5,-23.1
6,-82.0
7,-52.9
8,-11.0
9,-155.2
10,-138.4
11,-47.1
12,-34.0